DFT (PBE) results for a geometry-optimized MgScTc2 structure.

a = 3.4268 Å, b = 3.4268 Å, c = 5.8776 Å
α = 90.00°, β = 90.00°, γ = 90.00°
Positions (direct):
1 Mg 0.5000 0.5000 0.2500
2 Sc 0.5000 0.5000 0.7500
3 Tc 0.0000 0.0000 0.0475
4 Tc 0.0000 0.0000 0.4525

Symmetry: No. 123
Mass density (Mg/m³): 6.4
Formation energy (kJ per mole of atoms): 15.31